The following is a PBE-GGA calculation of an optimized crystal structure of CuTcAsO6, from Alexandria.

Computed properties:
* DFT total energy: -116.0 eV/cell
* raw formation energy: -1.01 eV/atom
* volume: 196.45 Å³ per cell
* N(E_F): 0.371 states/eV/atom

Cell lengths 5.030, 5.030, 8.964 Å; angles 90.00, 90.00, 120.00 degrees
Site moments in Bohr magnetons follow the coordinates.
Element x y z (fractional)
Cu: 0.000 0.000 0.000  -0.28
Cu: 0.000 0.000 0.500  -0.28
Tc: 0.333 0.667 0.250  0.95
Tc: 0.667 0.333 0.750  0.95
As: 0.667 0.333 0.250  0.04
As: 0.333 0.667 0.750  0.04
O: 0.644 0.633 0.134  0.01
O: 0.989 0.356 0.134  0.01
O: 0.356 0.989 0.634  0.01
O: 0.011 0.644 0.866  0.01
O: 0.367 0.356 0.366  0.01
O: 0.989 0.633 0.366  0.01
O: 0.633 0.989 0.866  0.01
O: 0.644 0.011 0.366  0.01
O: 0.011 0.367 0.634  0.01
O: 0.367 0.011 0.134  0.01
O: 0.633 0.644 0.634  0.01
O: 0.356 0.367 0.866  0.01